No. 1
Here is a relaxed structure of K2AgS2 from the Open Quantum Materials Database. Energies are from GGA-PBE.

Unit cell a=11.4213 b=3.8743 c=6.5323 alpha=90.00 beta=103.15 gamma=90.00
With the nearest neighbours (Å) after each atom.
Space group C2/m (No. 12)
One atom of each set of equivalent atoms:
K 0.1624 0.0000 0.2122  5 S 3.18-3.43, 2 Ag 3.51
Ag 0.0000 0.5000 0.5000  4 S 2.54
S 0.1114 0.0000 0.7099  2 Ag 2.54

For the calculated total energy, the calculation gives -33.34 eV per cell.

***

No. 2
Here is a relaxed structure of NdHoH2O4 from the Open Quantum Materials Database. Energies are from GGA-PBE.

Unit cell a=4.3457 b=3.6686 c=6.0628 alpha=90.00 beta=109.19 gamma=90.00
With the nearest neighbours (Å) after each atom.
Space group Pm (No. 6)
One atom of each set of equivalent atoms:
Nd 0.0000 0.0000 0.0000  7 O 2.32-2.51
Ho 0.6714 0.5000 0.3844  7 O 2.26-2.45
H 0.3135 0.5000 0.7478  1 O 0.97
H 0.3348 0.0000 0.5810  1 O 0.97
O 0.0878 0.5000 0.7432  1 H 0.97
O 0.1095 0.5000 0.2564  2 Ho 2.28-2.31, 2 Nd 2.35
O 0.5707 0.0000 0.6198  1 H 0.97
O 0.5763 0.0000 0.1544  2 Ho 2.26, 2 Nd 2.32-2.37

For the calculated total energy, the calculation gives -56.66 eV per cell.

***

No. 3
Here is a relaxed structure of DyPuFe from the Open Quantum Materials Database. Energies are from GGA-PBE.

Unit cell a=6.2952 b=6.2952 c=6.2952 alpha=90.00 beta=90.00 gamma=90.00
With the nearest neighbours (Å) after each atom.
Space group F-43m (No. 216)
One atom of each set of equivalent atoms:
Dy 0.0000 0.0000 0.0000  4 Fe 2.73
Pu 0.0000 0.0000 0.5000  4 Fe 2.73
Fe 0.2500 0.2500 0.2500  4 Dy 2.73, 4 Pu 2.73

The value obtained for the energy above the most stable polymorph in this dataset is 0.00 eV/f.u. For the calculated total energy, the calculation gives -104.91 eV per cell.

***

No. 4
Here is a relaxed structure of NiW3S6 from the Open Quantum Materials Database. Energies are from GGA-PBE.

Unit cell a=5.6241 b=5.6241 c=17.9343 alpha=90.00 beta=90.00 gamma=120.00
With the nearest neighbours (Å) after each atom.
Space group R-3 (No. 148, hexagonal axes)
One atom of each set of equivalent atoms:
Ni 0.0000 0.0000 0.0000  6 S 2.36
W 0.0000 0.0000 0.1681  6 S 2.43-2.48
W 0.0000 0.0000 0.5000  6 S 2.44
S 0.0012 0.3369 0.0790  1 Ni 2.36, 3 W 2.43-2.48

For the calculated total energy, the calculation gives -219.70 eV per cell.

***

No. 5
Here is a relaxed structure of CdH6C8Br4N4 from the Open Quantum Materials Database. Energies are from GGA-PBE.

Unit cell a=3.8966 b=16.7580 c=10.4301 alpha=90.00 beta=91.96 gamma=90.00
With the nearest neighbours (Å) after each atom.
Space group P2_1/c (No. 14)
One atom of each set of equivalent atoms:
Cd 0.0000 0.0000 0.0000  2 N 2.44
H 0.1673 0.1916 0.9507  1 C 1.09
H 0.2047 0.5189 0.8052  1 C 1.09
H 0.2094 0.2100 0.2666  1 C 1.09
C 0.0955 0.1752 0.8522  1 H 1.09
C 0.0992 0.6361 0.8874  1 N 1.32, 1 C 1.40
C 0.1142 0.2293 0.7512  1 H 1.09
C 0.1138 0.5797 0.7890  1 H 1.09
Br 0.2539 0.6074 0.0566  1 C 1.91
Br 0.4856 0.5847 0.3688  2 Cd 2.76-2.78, 3 H 2.81-2.90
N 0.0146 0.6002 0.6694  2 C 1.34
N 0.0176 0.2095 0.6306  2 C 1.32-1.34

For the calculated total energy, the calculation gives -271.90 eV per cell.

***

No. 6
Here is a relaxed structure of SrAsOsO from the Open Quantum Materials Database. Energies are from GGA-PBE.

Unit cell a=3.9197 b=4.5624 c=7.8709 alpha=90.00 beta=90.00 gamma=90.00
With the nearest neighbours (Å) after each atom.
Space group Pmc2_1 (No. 26)
One atom of each set of equivalent atoms:
Sr 0.0000 0.2483 0.0000  3 O 2.63
As 0.5000 0.2503 0.6674  3 Os 2.62-2.64
Os 0.5000 0.2529 0.3339  2 O 1.96
O 0.0000 0.2515 0.3339  2 Os 1.96

The value obtained for the energy above the most stable polymorph in this dataset is 0.67 eV/f.u. For the calculated total energy, the calculation gives -51.90 eV per cell.